# 1
The following is a DFT calculation (PBE with a Hubbard U) of a relaxed structure of BaV2GeO8.

CIF file:
```
data_BaV2GeO8
_chemical_formula_sum 'Ba1 V2 Ge1 O8'
_symmetry_space_group_name_H-M 'P -3'
_symmetry_Int_Tables_number 147
_cell_length_a 5.3383
_cell_length_b 5.3383
_cell_length_c 7.3555
_cell_angle_alpha 90.00
_cell_angle_beta 90.00
_cell_angle_gamma 120.00
loop_
_symmetry_equiv_pos_as_xyz
'x,y,z'
'-x,-y,-z'
'-y,x-y,z'
'y,-x+y,-z'
'-x+y,-x,z'
'x-y,x,-z'
loop_
_atom_site_label
_atom_site_type_symbol
_atom_site_fract_x
_atom_site_fract_y
_atom_site_fract_z
_atom_site_occupancy
Ba1 Ba 0.0000 0.0000 0.0000 1
V1 V 0.3333 0.6667 0.7211 1
Ge1 Ge 0.0000 0.0000 0.5000 1
O1 O 0.0755 0.3123 0.6568 1
O2 O 0.3333 0.6667 0.9502 1
```

Output
DOS(E_F) = 0.000 states/eV/atom
raw total energy = -7.16 eV per atom

# 2
The following is a DFT calculation (PBE with a Hubbard U) of a relaxed structure of Ba2VGeO6.

CIF file:
```
data_Ba2VGeO6
_chemical_formula_sum 'Ba4 V2 Ge2 O12'
_symmetry_space_group_name_H-M 'I m m m'
_symmetry_Int_Tables_number 71
_symmetry_space_group_name_Hall '-I 2 2'
_cell_length_a 5.616
_cell_length_b 5.656
_cell_length_c 8.023
_cell_angle_alpha 90.00
_cell_angle_beta 90.00
_cell_angle_gamma 90.00
loop_
_atom_site_label
_atom_site_type_symbol
_atom_site_fract_x
_atom_site_fract_y
_atom_site_fract_z
_atom_site_occupancy
Ba1 Ba 0.000 0.000 0.250 1
V1 V 0.000 0.500 0.000 1
Ge1 Ge 0.000 0.500 0.500 1
O1 O 0.000 0.500 0.259 1
O2 O 0.248 0.249 0.000 1
```

Output
raw total energy = -6.80 eV per atom

# 3
The following is a DFT calculation (PBE with a Hubbard U) of a relaxed structure of BaVGe2O8.

CIF file:
```
data_BaVGe2O8
_chemical_formula_sum 'Ba3 V3 Ge6 O24'
_symmetry_space_group_name_H-M 'R 3 2'
_symmetry_Int_Tables_number 155
_symmetry_space_group_name_Hall 'R 3 2"'
_cell_length_a 4.8411
_cell_length_b 4.8411
_cell_length_c 25.9663
_cell_angle_alpha 90.00
_cell_angle_beta 90.00
_cell_angle_gamma 120.00
loop_
_atom_site_label
_atom_site_type_symbol
_atom_site_fract_x
_atom_site_fract_y
_atom_site_fract_z
_atom_site_occupancy
Ba1 Ba 0.0000 0.0000 0.0000 1
V1 V 0.0000 0.0000 0.5000 1
Ge1 Ge 0.0000 0.0000 0.2352 1
O1 O 0.0000 0.0000 0.3017 1
O2 O 0.0011 0.3026 0.5466 1
```

Output
DOS(E_F) = 0.395 states/eV/atom
raw total energy = -6.50 eV per atom

# 4
The following is a DFT calculation (PBE with a Hubbard U) of a relaxed structure of BaVGe2O6.

CIF file:
```
data_BaVGe2O6
_chemical_formula_sum 'Ba3 V3 Ge6 O18'
_symmetry_space_group_name_H-M 'R -3'
_symmetry_Int_Tables_number 148
_symmetry_space_group_name_Hall '-R 3'
_cell_length_a 5.1902
_cell_length_b 5.1902
_cell_length_c 19.2794
_cell_angle_alpha 90.00
_cell_angle_beta 90.00
_cell_angle_gamma 120.00
loop_
_atom_site_label
_atom_site_type_symbol
_atom_site_fract_x
_atom_site_fract_y
_atom_site_fract_z
_atom_site_occupancy
Ba1 Ba 0.0000 0.0000 0.0000 1
V1 V 0.0000 0.0000 0.5000 1
Ge1 Ge 0.0000 0.0000 0.1734 1
O1 O 0.0041 0.6394 0.5541 1
```

Output
DOS(E_F) = 0.102 states/eV/atom
raw total energy = -6.78 eV per atom

# 5
The following is a DFT calculation (PBE with a Hubbard U) of a relaxed structure of Ba2GeWO6.

CIF file:
```
data_Ba2GeWO6
_chemical_formula_sum 'Ba4 Ge2 W2 O12'
_symmetry_space_group_name_H-M 'I 4/m m m'
_symmetry_Int_Tables_number 139
_symmetry_space_group_name_Hall '-I 4 2'
_cell_length_a 5.726
_cell_length_b 5.726
_cell_length_c 8.213
_cell_angle_alpha 90.00
_cell_angle_beta 90.00
_cell_angle_gamma 90.00
loop_
_atom_site_label
_atom_site_type_symbol
_atom_site_fract_x
_atom_site_fract_y
_atom_site_fract_z
_atom_site_occupancy
Ba1 Ba 0.000 0.500 0.250 1
Ge1 Ge 0.000 0.000 0.000 1
W1 W 0.000 0.000 0.500 1
O1 O 0.000 0.000 0.234 1
O2 O 0.244 0.244 0.000 1
```

Output
raw total energy = -6.78 eV per atom